A relaxed TbPu2P crystal, computed with GGA-PBE. Values from VASP.

Calculated values
Space group: R-3m, No. 166
Volume in Å³ per atom: 27.57
Formation energy in meV per atom: -323

Structure (Quantum ESPRESSO input):
```
&SYSTEM
  ibrav = 0, nat = 4, ntyp = 3
/
ATOMIC_SPECIES
Tb 158.93 Tb.upf
Pu 244.00 Pu.upf
P 30.97 P.upf
ATOMIC_POSITIONS angstrom
Tb 0.000 0.000 0.000
Pu 0.000 0.000 6.543
Pu 0.000 0.000 22.006
P 0.000 0.000 14.274
CELL_PARAMETERS angstrom
1.829 1.056 9.516
-1.829 1.056 9.516
0.000 -2.112 9.516
```